# HoGa6Pt12 PBE optimized geometry
# * DOS(E_F): 5.8 states/eV per cell
# * SG: No. 166
# * energy of formation: -0.561 eV/atom
# * V: 326.7 Å³ per cell
# * total moment: 0.000 μB per formula unit
# * total energy: -5.573 eV/atom
data_HoGa6Pt12
_chemical_formula_sum 'Ho1 Ga6 Pt12'
_space_group_name_H-M_alt 'P 1'
_space_group_IT_number 1
_space_group_name_Hall 'P 1'
_cell_length_a 7.294
_cell_length_b 7.294
_cell_length_c 7.294
_cell_angle_alpha 106.61
_cell_angle_beta 106.61
_cell_angle_gamma 106.61
loop_
_atom_site_label
_atom_site_type_symbol
_atom_site_fract_x
_atom_site_fract_y
_atom_site_fract_z
Ga1 Ga 0.275 0.696 0.275
Ga2 Ga 0.304 0.725 0.725
Ga3 Ga 0.696 0.275 0.275
Ga4 Ga 0.275 0.275 0.696
Ga5 Ga 0.725 0.725 0.304
Ga6 Ga 0.725 0.304 0.725
Pt1 Pt 0.875 0.125 0.500
Pt2 Pt 0.140 0.378 0.378
Pt3 Pt 0.378 0.378 0.140
Pt4 Pt 0.125 0.500 0.875
Pt5 Pt 0.622 0.860 0.622
Pt6 Pt 0.500 0.875 0.125
Pt7 Pt 0.622 0.622 0.860
Pt8 Pt 0.125 0.875 0.500
Pt9 Pt 0.875 0.500 0.125
Pt10 Pt 0.500 0.125 0.875
Pt11 Pt 0.860 0.622 0.622
Pt12 Pt 0.378 0.140 0.378
Ho1 Ho 0.000 0.000 0.000

=====

# Er2AsSe PBE optimized geometry
# * DOS(E_F): 2.5 states/eV per cell
# * formation energy (no corrections): -1.602 eV per atom
# * SG: No. 160
# * ΔE to the lowest computed polymorph: 74.5 meV per atom
# * V: 96.7 Å³ per cell
# * total moment: 0.000 μB per formula unit
# * total energy: -5.917 eV/atom
data_Er2AsSe
_chemical_formula_sum 'Er2 As1 Se1'
_space_group_name_H-M_alt 'P 1'
_space_group_IT_number 1
_space_group_name_Hall 'P 1'
_cell_length_a 3.992
_cell_length_b 3.992
_cell_length_c 7.375
_cell_angle_alpha 74.30
_cell_angle_beta 74.30
_cell_angle_gamma 60.00
loop_
_atom_site_label
_atom_site_type_symbol
_atom_site_fract_x
_atom_site_fract_y
_atom_site_fract_z
As1 As 0.668 0.668 0.995
Er1 Er 0.076 0.076 0.771
Er2 Er 0.257 0.257 0.230
Se1 Se 0.499 0.499 0.504

=====

# PdS3I PBE optimized geometry
# * DOS(E_F): 5.0 states/eV per cell
# * formation energy (no corrections): 0.590 eV per atom
# * SG: No. 221
# * ΔE to the lowest computed polymorph: 0.0 meV per atom
# * V: 106.6 Å³ per cell
# * total moment: 0.000 μB per formula unit
# * total energy: -3.235 eV/atom
data_PdS3I
_chemical_formula_sum 'Pd1 S3 I1'
_space_group_name_H-M_alt 'P 1'
_space_group_IT_number 1
_space_group_name_Hall 'P 1'
_cell_length_a 4.741
_cell_length_b 4.741
_cell_length_c 4.741
_cell_angle_alpha 90.00
_cell_angle_beta 90.00
_cell_angle_gamma 90.00
loop_
_atom_site_label
_atom_site_type_symbol
_atom_site_fract_x
_atom_site_fract_y
_atom_site_fract_z
S1 S 0.000 0.000 0.500
S2 S 0.000 0.500 0.000
S3 S 0.500 0.000 0.000
I1 I 0.500 0.500 0.500
Pd1 Pd 0.000 0.000 0.000

=====

# CaAg2Br5 PBE optimized geometry
# * DOS(E_F): 7.5 states/eV per cell
# * formation energy (no corrections): -0.786 eV per atom
# * SG: No. 69
# * V: 280.8 Å³ per cell
# * total moment: 0.911 μB per formula unit
# * total energy: -2.794 eV/atom
data_CaAg2Br5
_chemical_formula_sum 'Ca1 Ag2 Br5'
_space_group_name_H-M_alt 'P 1'
_space_group_IT_number 1
_space_group_name_Hall 'P 1'
_cell_length_a 6.053
_cell_length_b 7.616
_cell_length_c 7.296
_cell_angle_alpha 80.53
_cell_angle_beta 65.49
_cell_angle_gamma 66.59
loop_
_atom_site_label
_atom_site_type_symbol
_atom_site_fract_x
_atom_site_fract_y
_atom_site_fract_z
Br1 Br 0.478 0.227 0.818
Br2 Br 0.204 0.774 0.818
Br3 Br 0.000 0.500 0.500
Br4 Br 0.522 0.773 0.182
Br5 Br 0.796 0.226 0.182
Ag1 Ag 0.205 0.500 0.089
Ag2 Ag 0.795 0.500 0.911
Ca1 Ca 0.500 0.500 0.500

=====

# Y3MgN PBE optimized geometry
# * DOS(E_F): 5.5 states/eV per cell
# * formation energy (no corrections): -0.600 eV per atom
# * SG: No. 2
# * ΔE to the lowest computed polymorph: 122.8 meV per atom
# * V: 252.7 Å³ per cell
# * total moment: 0.000 μB per formula unit
# * total energy: -6.462 eV/atom
data_Y3MgN
_chemical_formula_sum 'Y6 Mg2 N2'
_space_group_name_H-M_alt 'P 1'
_space_group_IT_number 1
_space_group_name_Hall 'P 1'
_cell_length_a 6.667
_cell_length_b 6.629
_cell_length_c 6.784
_cell_angle_alpha 101.79
_cell_angle_beta 120.58
_cell_angle_gamma 84.04
loop_
_atom_site_label
_atom_site_type_symbol
_atom_site_fract_x
_atom_site_fract_y
_atom_site_fract_z
Y1 Y 0.436 0.442 0.528
Y2 Y 0.436 0.941 0.059
Y3 Y 0.986 0.192 0.569
Y4 Y 0.547 0.942 0.584
Y5 Y 0.547 0.441 0.114
Y6 Y 0.998 0.691 0.074
N1 N 0.597 0.191 0.374
N2 N 0.386 0.691 0.268
Mg1 Mg 0.977 0.192 0.064
Mg2 Mg 0.006 0.692 0.578

=====

# Nd3AgAu PBE optimized geometry
# * DOS(E_F): 10.0 states/eV per cell
# * SG: No. 63
# * ΔE to the lowest computed polymorph: 0.0 meV per atom
# * energy of formation: -0.397 eV/atom
# * V: 281.0 Å³ per cell
# * total moment: 0.004 μB per formula unit
# * total energy: -4.483 eV/atom
data_Nd3AgAu
_chemical_formula_sum 'Nd6 Ag2 Au2'
_space_group_name_H-M_alt 'P 1'
_space_group_IT_number 1
_space_group_name_Hall 'P 1'
_cell_length_a 5.264
_cell_length_b 5.271
_cell_length_c 10.465
_cell_angle_alpha 90.00
_cell_angle_beta 75.43
_cell_angle_gamma 90.00
loop_
_atom_site_label
_atom_site_type_symbol
_atom_site_fract_x
_atom_site_fract_y
_atom_site_fract_z
Au1 Au 0.664 0.750 0.320
Au2 Au 0.984 0.250 0.680
Nd1 Nd 0.260 0.750 0.129
Nd2 Nd 0.075 0.750 0.499
Nd3 Nd 0.891 0.750 0.867
Nd4 Nd 0.574 0.250 0.501
Nd5 Nd 0.758 0.250 0.133
Nd6 Nd 0.389 0.250 0.871
Ag1 Ag 0.167 0.250 0.314
Ag2 Ag 0.481 0.750 0.686